# 1
## ScCu3Pd2 (PBE)

Data for a relaxed structure of ScCu3Pd2.

The structure in POSCAR format:
```
ScCu3Pd2
1.0
2.687 -4.118 0.000
2.687 4.118 0.000
-1.176 0.000 7.879
Sc Cu Pd
2 6 4
Direct
0.133 0.867 0.750
0.867 0.133 0.250
0.225 0.460 0.950
0.418 0.582 0.250
0.460 0.225 0.450
0.540 0.775 0.550
0.582 0.418 0.750
0.775 0.540 0.050
0.015 0.296 0.612
0.296 0.015 0.112
0.704 0.985 0.888
0.985 0.704 0.388
```

Computed properties:
SG = C2/c, No. 15
crystal system = monoclinic
formation energy = -37.40 kJ per mole of atoms
final energy = -5.222 eV/atom
magnetization = 0.00 μB per formula unit


# 2
## Sc5Cu2Pd5 (PBE)

Data for a relaxed structure of Sc5Cu2Pd5.

The structure in POSCAR format:
```
Sc5Cu2Pd5
1.0
2.261 1.306 11.887
-2.261 1.306 11.887
0.000 -2.611 11.887
Sc Cu Pd
5 2 5
Direct
0.000 0.000 0.000
0.141 0.141 0.141
0.403 0.403 0.403
0.597 0.597 0.597
0.859 0.859 0.859
0.070 0.070 0.070
0.930 0.930 0.930
0.224 0.224 0.224
0.305 0.305 0.305
0.500 0.500 0.500
0.695 0.695 0.695
0.776 0.776 0.776
```

Computed properties:
SG = R-3m, No. 166
crystal system = trigonal
formation energy = -59.79 kJ per mole of atoms
final energy = -6.104 eV/atom
magnetization = 0.00 μB per formula unit


# 3
## Sc3Cu3Pd2 (PBE)

Data for a relaxed structure of Sc3Cu3Pd2.

The structure in POSCAR format:
```
Sc3Cu3Pd2
1.0
6.626 0.000 0.000
-3.313 5.738 0.000
0.000 0.000 3.661
Sc Cu Pd
3 3 2
Direct
0.000 0.381 0.000
0.381 0.000 0.000
0.619 0.619 0.000
0.000 0.778 0.500
0.222 0.222 0.500
0.778 0.000 0.500
0.333 0.667 0.500
0.667 0.333 0.500
```

Computed properties:
SG = P-62m, No. 189
crystal system = hexagonal
formation energy = -44.20 kJ per mole of atoms
final energy = -5.667 eV/atom
magnetization = 0.00 μB per formula unit


# 4
## Sc8CuPd2 (PBE)

Data for a relaxed structure of Sc8CuPd2.

The structure in POSCAR format:
```
Sc8CuPd2
1.0
3.107 -8.438 0.000
3.107 8.438 0.000
-2.254 0.000 4.558
Sc Cu Pd
8 1 2
Direct
0.000 0.000 0.000
0.157 0.915 0.522
0.308 0.549 0.206
0.463 0.463 0.726
0.537 0.926 0.865
0.549 0.308 0.206
0.915 0.157 0.522
0.926 0.537 0.865
0.733 0.733 0.357
0.477 0.988 0.366
0.988 0.477 0.366
```

Computed properties:
SG = Cm, No. 8
crystal system = monoclinic
formation energy = -29.15 kJ per mole of atoms
final energy = -6.223 eV/atom
magnetization = 0.00 μB per formula unit


# 5
## Sc3CuPd (PBE)

Data for a relaxed structure of Sc3CuPd.

The structure in POSCAR format:
```
Sc3CuPd
1.0
4.864 0.000 0.000
0.000 4.864 0.000
0.000 0.000 4.864
Sc Cu Pd
3 1 1
Direct
0.000 0.000 0.500
0.000 0.500 0.000
0.500 0.000 0.000
0.000 0.000 0.000
0.500 0.500 0.500
```

Computed properties:
SG = Pm-3m, No. 221
relative energy among the computed polymorphs = 0 meV per atom
crystal system = cubic
formation energy = 13.17 kJ per mole of atoms
final energy = -5.520 eV/atom
magnetization = 0.00 μB per formula unit


# 6
## Sc3CuPd12 (PBE)

Data for a relaxed structure of Sc3CuPd12.

The structure in POSCAR format:
```
Sc3CuPd12
1.0
3.989 0.000 0.000
0.000 3.989 0.000
0.000 0.000 15.917
Sc Cu Pd
3 1 12
Direct
0.000 0.000 0.000
0.000 0.000 0.255
0.000 0.000 0.745
0.000 0.000 0.500
0.000 0.500 0.127
0.000 0.500 0.380
0.000 0.500 0.620
0.000 0.500 0.873
0.500 0.000 0.127
0.500 0.000 0.380
0.500 0.000 0.620
0.500 0.000 0.873
0.500 0.500 0.000
0.500 0.500 0.254
0.500 0.500 0.500
0.500 0.500 0.746
```

Computed properties:
SG = P4/mmm, No. 123
crystal system = tetragonal
formation energy = -61.48 kJ per mole of atoms
final energy = -5.975 eV/atom
magnetization = 0.00 μB per formula unit


# 7
## Sc2Cu2Pd (PBE)

Data for a relaxed structure of Sc2Cu2Pd.

The structure in POSCAR format:
```
Sc2Cu2Pd
1.0
6.922 0.000 0.000
0.000 6.922 0.000
0.000 0.000 3.542
Sc Cu Pd
4 4 2
Direct
0.177 0.323 0.000
0.323 0.823 0.000
0.677 0.177 0.000
0.823 0.677 0.000
0.123 0.623 0.500
0.377 0.123 0.500
0.623 0.877 0.500
0.877 0.377 0.500
0.000 0.000 0.500
0.500 0.500 0.500
```

Computed properties:
SG = P4/mbm, No. 127
relative energy among the computed polymorphs = 83 meV per atom
crystal system = tetragonal
formation energy = -40.62 kJ per mole of atoms
final energy = -5.631 eV/atom
magnetization = 0.00 μB per formula unit


# 8
## Sc2Cu2Pd3 (PBE)

Data for a relaxed structure of Sc2Cu2Pd3.

The structure in POSCAR format:
```
Sc2Cu2Pd3
1.0
4.023 0.000 0.000
2.010 4.537 0.000
0.000 0.497 6.098
Sc Cu Pd
2 2 3
Direct
0.089 0.324 0.235
0.911 0.676 0.765
0.371 0.759 0.077
0.629 0.241 0.923
0.209 0.081 0.671
0.500 0.500 0.500
0.791 0.919 0.329
```

Computed properties:
SG = P-1, No. 2
crystal system = triclinic
formation energy = -58.45 kJ per mole of atoms
final energy = -5.811 eV/atom
magnetization = 0.00 μB per formula unit


# 9
## Sc4CuPd5 (PBE)

Data for a relaxed structure of Sc4CuPd5.

The structure in POSCAR format:
```
Sc4CuPd5
1.0
3.289 0.000 0.000
0.000 3.289 0.000
0.000 0.000 15.956
Sc Cu Pd
4 1 5
Direct
0.000 0.000 0.107
0.000 0.000 0.319
0.000 0.000 0.681
0.000 0.000 0.893
0.000 0.000 0.500
0.500 0.500 0.000
0.500 0.500 0.213
0.500 0.500 0.412
0.500 0.500 0.588
0.500 0.500 0.787
```

Computed properties:
SG = P4/mmm, No. 123
crystal system = tetragonal
formation energy = -76.48 kJ per mole of atoms
final energy = -6.331 eV/atom
magnetization = 0.00 μB per formula unit


# 10
## Sc3CuPd2 (PBE)

Data for a relaxed structure of Sc3CuPd2.

The structure in POSCAR format:
```
Sc3CuPd2
1.0
4.662 0.000 0.000
-2.331 4.038 0.000
0.000 0.000 11.456
Sc Cu Pd
6 2 4
Direct
0.000 0.000 0.248
0.000 0.000 0.752
0.333 0.667 0.415
0.333 0.667 0.917
0.667 0.333 0.083
0.667 0.333 0.585
0.333 0.667 0.165
0.667 0.333 0.835
0.000 0.000 0.000
0.000 0.000 0.500
0.333 0.667 0.667
0.667 0.333 0.333
```

Computed properties:
SG = P-3m1, No. 164
crystal system = trigonal
formation energy = -66.86 kJ per mole of atoms
final energy = -6.272 eV/atom
magnetization = 0.00 μB per formula unit


# 11
## Sc6Cu5Pd (PBE)

Data for a relaxed structure of Sc6Cu5Pd.

The structure in POSCAR format:
```
Sc6Cu5Pd
1.0
2.305 -6.948 0.000
2.305 6.948 0.000
0.000 0.000 6.547
Sc Cu Pd
6 5 1
Direct
0.000 0.000 0.248
0.000 0.000 0.752
0.333 0.667 0.248
0.333 0.667 0.752
0.667 0.333 0.248
0.667 0.333 0.752
0.165 0.835 0.000
0.168 0.832 0.500
0.500 0.500 0.000
0.832 0.168 0.500
0.835 0.165 0.000
0.500 0.500 0.500
```

Computed properties:
SG = Cmmm, No. 65
crystal system = orthorhombic
formation energy = -37.23 kJ per mole of atoms
final energy = -5.691 eV/atom
magnetization = 0.00 μB per formula unit


# 12
## Sc2Cu4Pd3 (PBE)

Data for a relaxed structure of Sc2Cu4Pd3.

The structure in POSCAR format:
```
Sc2Cu4Pd3
1.0
4.504 -1.938 0.000
4.504 1.938 0.000
-3.012 0.000 7.719
Sc Cu Pd
2 4 3
Direct
0.167 0.167 0.227
0.833 0.833 0.773
0.168 0.168 0.893
0.495 0.495 0.333
0.505 0.505 0.667
0.832 0.832 0.107
0.162 0.162 0.561
0.500 0.500 0.000
0.838 0.838 0.439
```

Computed properties:
SG = C2/m, No. 12
crystal system = monoclinic
formation energy = -44.98 kJ per mole of atoms
final energy = -5.425 eV/atom
magnetization = 0.00 μB per formula unit


# 13
## Sc3Cu2Pd2 (PBE)

Data for a relaxed structure of Sc3Cu2Pd2.

The structure in POSCAR format:
```
Sc3Cu2Pd2
1.0
3.916 -2.264 0.000
3.916 2.264 0.000
-2.586 0.000 7.478
Sc Cu Pd
3 2 2
Direct
0.000 0.000 0.000
0.244 0.244 0.731
0.756 0.756 0.269
0.369 0.369 0.108
0.631 0.631 0.892
0.121 0.121 0.365
0.879 0.879 0.635
```

Computed properties:
SG = C2/m, No. 12
crystal system = monoclinic
formation energy = -36.29 kJ per mole of atoms
final energy = -5.744 eV/atom
magnetization = 0.00 μB per formula unit


# 14
## Sc4CuPd2 (PBE)

Data for a relaxed structure of Sc4CuPd2.

The structure in POSCAR format:
```
Sc4CuPd2
1.0
2.318 1.339 7.477
-2.318 1.339 7.477
0.000 -2.677 7.477
Sc Cu Pd
4 1 2
Direct
0.123 0.123 0.123
0.373 0.373 0.373
0.627 0.627 0.627
0.877 0.877 0.877
0.500 0.500 0.500
0.248 0.248 0.248
0.752 0.752 0.752
```

Computed properties:
SG = R-3m, No. 166
crystal system = trigonal
formation energy = -52.04 kJ per mole of atoms
final energy = -6.226 eV/atom
magnetization = 0.00 μB per formula unit


# 15
## ScCuSiPd (PBE)

Data for a relaxed structure of ScCuSiPd.

The structure in POSCAR format:
```
ScCuSiPd
1.0
0.000 3.110 3.110
3.110 0.000 3.110
3.110 3.110 0.000
Sc Cu Si Pd
1 1 1 1
Direct
0.000 0.000 0.000
0.250 0.250 0.250
0.500 0.500 0.500
0.750 0.750 0.750
```

Computed properties:
SG = F-43m, No. 216
crystal system = cubic
formation energy from raw total energies = -578 meV per atom
final energy = -5.839 eV/atom
magnetization = 0.00 μB per formula unit


# 16
## ScCuSi2Pd (PBE)

Data for a relaxed structure of ScCuSi2Pd.

The structure in POSCAR format:
```
ScCuSi2Pd
1.0
-1.947 1.947 5.131
1.947 -1.947 5.131
1.947 1.947 -5.131
Sc Cu Si Pd
1 1 2 1
Direct
0.000 0.000 0.000
0.250 0.750 0.500
0.389 0.389 0.000
0.611 0.611 0.000
0.750 0.250 0.500
```

Computed properties:
SG = I-4m2, No. 119
crystal system = tetragonal
formation energy from raw total energies = -671 meV per atom
final energy = -5.964 eV/atom
magnetization = 0.00 μB per formula unit


# 17
## SmScCuPd (PBE)

Data for a relaxed structure of SmScCuPd.

The structure in POSCAR format:
```
SmScCuPd
1.0
0.000 3.442 3.442
3.442 0.000 3.442
3.442 3.442 0.000
Sm Sc Cu Pd
1 1 1 1
Direct
0.000 0.000 0.000
0.500 0.500 0.500
0.750 0.750 0.750
0.250 0.250 0.250
```

Computed properties:
SG = F-43m, No. 216
relative energy among the computed polymorphs = 17 meV per atom
crystal system = cubic
formation energy = -47.70 kJ per mole of atoms
final energy = -5.579 eV/atom
magnetization = 0.00 μB per formula unit


# 18
## SmScCuPd (PBE)

Data for a relaxed structure of SmScCuPd.

The structure in POSCAR format:
```
SmScCuPd
1.0
4.463 0.000 0.000
0.000 1.804 5.225
0.000 -1.804 5.225
Sm Sc Cu Pd
1 1 1 1
Direct
0.000 0.000 0.000
0.500 0.721 0.721
0.500 0.431 0.431
0.000 0.275 0.275
```

Computed properties:
SG = Amm2, No. 38
relative energy among the computed polymorphs = 0 meV per atom
crystal system = orthorhombic
formation energy = -49.31 kJ per mole of atoms
final energy = -5.596 eV/atom
magnetization = 0.00 μB per formula unit


# 19
## ScCuSnPd2 (PBE)

Data for a relaxed structure of ScCuSnPd2.

The structure in POSCAR format:
```
ScCuSnPd2
1.0
4.701 0.000 0.000
0.000 4.701 0.000
0.000 0.000 4.593
Sc Cu Sn Pd
1 1 1 2
Direct
0.000 0.000 0.000
0.000 0.000 0.500
0.500 0.500 0.000
0.000 0.500 0.500
0.500 0.000 0.500
```

Computed properties:
SG = P4/mmm, No. 123
crystal system = tetragonal
formation energy = 8.31 kJ per mole of atoms
final energy = -4.877 eV/atom
magnetization = 0.00 μB per formula unit


# 20
## ThScCuPd (PBE)

Data for a relaxed structure of ThScCuPd.

The structure in POSCAR format:
```
ThScCuPd
1.0
0.000 3.484 3.484
3.484 0.000 3.484
3.484 3.484 0.000
Th Sc Cu Pd
1 1 1 1
Direct
0.000 0.000 0.000
0.500 0.500 0.500
0.250 0.250 0.250
0.750 0.750 0.750
```

Computed properties:
SG = F-43m, No. 216
crystal system = cubic
formation energy = -40.33 kJ per mole of atoms
final energy = -6.178 eV/atom
magnetization = 0.00 μB per formula unit


In Å³ per atom, the calculated volume values for the records above are, in order, 14.53, 17.55, 17.40, 21.72, 23.02, 15.83, 16.97, 15.90, 17.26, 17.97, 17.47, 14.97, 18.94, 19.89, 15.04, 15.55, 20.39, 21.04, 20.30, 21.14.